[1]
DFT (GGA-PBE) results for a geometry-optimized Cr2CoTe structure.

Computed properties:
The total energy comes out at -28.10 eV per formula unit. For the density, the calculation gives 8.6 Mg/m³. As for the density of states at the Fermi level: 1.08 states/eV per atom.

Unit cell a=3.775 b=3.775 c=3.917 alpha=90.00 beta=90.00 gamma=90.00
Space group P4/mmm (No. 123)
Symmetry-distinct sites (fractional):
Cr 0.000 0.500 0.000 x2
Co 0.000 0.000 0.500 x1
Te 0.500 0.500 0.500 x1

=====

[2]
DFT (GGA-PBE) results for a geometry-optimized CrCoTe6 structure.

Computed properties:
The total energy comes out at -36.04 eV per formula unit. For the density, the calculation gives 7.3 Mg/m³. As for the density of states at the Fermi level: 0.65 states/eV per atom.

Unit cell a=6.486 b=6.490 c=6.527 alpha=61.11 beta=60.94 gamma=61.29
Space group P-1 (No. 2)
Symmetry-distinct sites (fractional):
Cr 0.000 0.000 0.000 x1
Co 0.500 0.500 0.500 x1
Te 0.074 0.728 0.439 x2
Te 0.264 0.558 0.928 x2
Te 0.443 0.070 0.728 x2

=====

[3]
DFT (GGA-PBE) results for a geometry-optimized Cr3CoTe structure.

Computed properties:
The excess energy over the best structure of this formula in the dataset is 0.0 kJ per mole of atoms. For the density, the calculation gives 6.4 Mg/m³. As for the density of states at the Fermi level: 1.58 states/eV per atom.

Unit cell a=4.470 b=4.470 c=4.470 alpha=90.00 beta=90.00 gamma=90.00
Space group Pm-3m (No. 221)
Symmetry-distinct sites (fractional):
Cr 0.000 0.000 0.500 x3
Co 0.000 0.000 0.000 x1
Te 0.500 0.500 0.500 x1